[1]
The following is a PBE calculation of a relaxed Y2ScHg3 crystal, from Alexandria via LeMat-Bulk.

a b c (Å): 3.6395 3.6395 11.1015
angles (deg): 90.00 90.00 90.00
With the nearest neighbours (Å) after each atom.
Atoms (fractional coordinates):
Y (0.0000, 0.0000, 0.1736)  8 Hg 3.22-3.24
Y (0.0000, 0.0000, 0.8264)  8 Hg 3.22-3.24
Sc (0.0000, 0.0000, 0.5000)  8 Hg 3.06
Hg (0.5000, 0.5000, 0.0000)  8 Y 3.22
Hg (0.5000, 0.5000, 0.3502)  4 Sc 3.06, 4 Y 3.24, 1 Hg 3.32
Hg (0.5000, 0.5000, 0.6498)  4 Sc 3.06, 4 Y 3.24, 1 Hg 3.32

Properties
The calculation puts the calculated formation energy at -0.476 eV/atom. The magnetization is 0.04 μB per atom. Its space group is No. 123. As for the density of states at the Fermi level: 5.56 states/eV/cell.

[2]
The following is a PBE calculation of a relaxed YSc2Hg3 crystal, from Alexandria via LeMat-Bulk.

a b c (Å): 3.5844 3.5844 10.8112
angles (deg): 90.00 90.00 90.00
With the nearest neighbours (Å) after each atom.
Atoms (fractional coordinates):
Y (0.0000, 0.0000, 0.0000)  8 Hg 3.22, 4 Y 3.58
Sc (0.0000, 0.0000, 0.3404)  8 Hg 3.05-3.07
Sc (0.0000, 0.0000, 0.6596)  8 Hg 3.05-3.07
Hg (0.5000, 0.5000, 0.1835)  4 Sc 3.05, 4 Y 3.22
Hg (0.5000, 0.5000, 0.5000)  8 Sc 3.07, 2 Hg 3.42
Hg (0.5000, 0.5000, 0.8165)  4 Sc 3.05, 4 Y 3.22

Properties
The calculation puts the calculated formation energy at -0.449 eV/atom. The magnetization is 0.04 μB per atom. Its space group is No. 123. As for the density of states at the Fermi level: 5.91 states/eV/cell.

[3]
The following is a PBE calculation of a relaxed YScHg crystal, from Alexandria via LeMat-Bulk.

a b c (Å): 5.1498 8.9846 6.5119
angles (deg): 90.00 90.00 90.00
With the nearest neighbours (Å) after each atom.
Atoms (fractional coordinates):
Y (0.0000, 0.1676, 0.2500)  5 Hg 2.98-3.26
Y (0.0000, 0.8324, 0.7500)  5 Hg 2.98-3.26
Y (0.5000, 0.3324, 0.7500)  5 Hg 2.98-3.26
Y (0.5000, 0.6676, 0.2500)  5 Hg 2.98-3.26
Sc (0.0000, 0.5000, 0.0000)  2 Sc 3.26, 6 Hg 3.39-3.42, 6 Y 3.40
Sc (0.0000, 0.5000, 0.5000)  2 Sc 3.26, 6 Hg 3.39-3.42, 6 Y 3.40
Sc (0.5000, 0.0000, 0.0000)  2 Sc 3.26, 6 Hg 3.39-3.42, 6 Y 3.40
Sc (0.5000, 0.0000, 0.5000)  2 Sc 3.26, 6 Hg 3.39-3.42, 6 Y 3.40
Hg (0.0000, 0.1648, 0.7500)  5 Y 2.98-3.26
Hg (0.0000, 0.8352, 0.2500)  5 Y 2.98-3.26
Hg (0.5000, 0.3352, 0.2500)  5 Y 2.98-3.26
Hg (0.5000, 0.6648, 0.7500)  5 Y 2.98-3.26

Properties
The calculation puts the calculated formation energy at -0.330 eV/atom. The energy above the most stable polymorph in this dataset is 28.0 meV/atom. The magnetization is 0.00 μB per atom. Its space group is No. 63. As for the density of states at the Fermi level: 3.38 states/eV/cell.

[4]
The following is a PBE calculation of a relaxed YScHg crystal, from Alexandria via LeMat-Bulk.

a b c (Å): 5.1495 3.6329 16.2665
angles (deg): 90.00 90.00 90.00
With the nearest neighbours (Å) after each atom.
Atoms (fractional coordinates):
Y (0.0000, 0.0000, 0.0000)  2 Hg 3.18, 6 Sc 3.23-3.49, 2 Y 3.53
Y (0.0000, 0.5000, 0.5000)  2 Hg 3.18, 6 Sc 3.23-3.49, 2 Y 3.53
Y (0.5000, 0.0000, 0.1481)  6 Hg 3.16-3.27, 2 Y 3.53
Y (0.5000, 0.5000, 0.6481)  6 Hg 3.16-3.27, 2 Y 3.53
Sc (0.0000, 0.0000, 0.3167)  6 Hg 3.13-3.15, 2 Sc 3.43, 2 Y 3.49
Sc (0.0000, 0.5000, 0.8167)  6 Hg 3.13-3.15, 2 Sc 3.43, 2 Y 3.49
Sc (0.5000, 0.0000, 0.4556)  2 Hg 2.92, 4 Y 3.23
Sc (0.5000, 0.5000, 0.9556)  2 Hg 2.92, 4 Y 3.23
Hg (0.0000, 0.0000, 0.6601)  2 Sc 3.13, 6 Y 3.16-3.18
Hg (0.0000, 0.5000, 0.1601)  2 Sc 3.13, 6 Y 3.16-3.18
Hg (0.5000, 0.0000, 0.8151)  6 Sc 2.92-3.15, 2 Y 3.27
Hg (0.5000, 0.5000, 0.3151)  6 Sc 2.92-3.15, 2 Y 3.27

Properties
The calculation puts the calculated formation energy at -0.304 eV/atom. The energy above the most stable polymorph in this dataset is 54.0 meV/atom. The magnetization is 0.00 μB per atom. Its space group is No. 38. As for the density of states at the Fermi level: 15.54 states/eV/cell.

[5]
The following is a PBE calculation of a relaxed Y3ScHg4 crystal, from Alexandria via LeMat-Bulk.

a b c (Å): 3.6641 3.6641 14.8118
angles (deg): 90.00 90.00 90.00
With the nearest neighbours (Å) after each atom.
Atoms (fractional coordinates):
Y (0.0000, 0.0000, 0.0000)  8 Hg 3.21
Y (0.0000, 0.0000, 0.2572)  8 Hg 3.22-3.24, 1 Sc 3.60
Y (0.0000, 0.0000, 0.7428)  8 Hg 3.22-3.24, 1 Sc 3.60
Sc (0.0000, 0.0000, 0.5000)  8 Hg 3.07
Hg (0.5000, 0.5000, 0.1277)  8 Y 3.21-3.22
Hg (0.5000, 0.5000, 0.3884)  4 Sc 3.07, 4 Y 3.24, 1 Hg 3.31
Hg (0.5000, 0.5000, 0.6116)  4 Sc 3.07, 4 Y 3.24, 1 Hg 3.31
Hg (0.5000, 0.5000, 0.8723)  8 Y 3.21-3.22

Properties
The calculation puts the calculated formation energy at -0.484 eV/atom. The magnetization is 0.01 μB per atom. Its space group is No. 123. As for the density of states at the Fermi level: 7.99 states/eV/cell.

[6]
The following is a PBE calculation of a relaxed YSc2ZnHg4 crystal, from Alexandria via LeMat-Bulk.

a b c (Å): 8.9838 8.9838 8.9838
angles (deg): 31.77 31.77 31.77
With the nearest neighbours (Å) after each atom.
Atoms (fractional coordinates):
Y (0.0000, 0.0000, 0.0000)  8 Hg 3.09-3.19
Sc (0.2416, 0.2416, 0.2416)  7 Hg 2.96-3.05
Sc (0.7584, 0.7584, 0.7584)  7 Hg 2.96-3.05
Zn (0.5000, 0.5000, 0.5000)  8 Hg 3.03-3.04
Hg (0.1249, 0.1249, 0.1249)  4 Sc 2.96-2.98, 3 Zn 3.03, 1 Y 3.19
Hg (0.3810, 0.3810, 0.3810)  1 Zn 3.04, 3 Sc 3.05, 3 Y 3.09
Hg (0.6190, 0.6190, 0.6190)  1 Zn 3.04, 3 Sc 3.05, 3 Y 3.09
Hg (0.8751, 0.8751, 0.8751)  4 Sc 2.96-2.98, 3 Zn 3.03, 1 Y 3.19

Properties
The calculation puts the calculated formation energy at -0.322 eV/atom. The magnetization is 0.00 μB per atom. Its space group is No. 166. As for the density of states at the Fermi level: 6.03 states/eV/cell.